Here is an optimized crystal structure of InNiMo2 from Alexandria via LeMat-Bulk. Energies are from PBEsol. Values from VASP.

```
&SYSTEM
  ibrav = 0, nat = 8, ntyp = 3
/
ATOMIC_SPECIES
In 114.82 In.upf
Ni 58.69 Ni.upf
Mo 95.94 Mo.upf
ATOMIC_POSITIONS crystal
In 0.000 0.000 0.000
In 0.500 0.500 0.500
Ni 0.000 0.500 0.256
Ni 0.500 0.000 0.756
Mo 0.000 0.000 0.514
Mo 0.000 0.500 0.779
Mo 0.500 0.000 0.279
Mo 0.500 0.500 0.014
CELL_PARAMETERS angstrom
3.287 0.000 0.000
0.000 4.494 0.000
0.000 0.000 8.266
```

For the formation energy, the calculation gives 0.220 eV per atom.

Here is an optimized crystal structure of CoHgAs2 from Alexandria via LeMat-Bulk. Energies are from PBEsol. Values from VASP.

```
&SYSTEM
  ibrav = 0, nat = 4, ntyp = 3
/
ATOMIC_SPECIES
Co 58.93 Co.upf
Hg 200.59 Hg.upf
As 74.92 As.upf
ATOMIC_POSITIONS crystal
Co 0.000 0.000 0.000
Hg 0.178 0.500 0.366
As 0.479 0.500 0.959
As 0.811 0.000 0.633
CELL_PARAMETERS angstrom
3.777 0.000 0.000
0.000 2.951 0.000
-1.877 0.000 6.229
```

For the formation energy, the calculation gives 0.159 eV per atom.

Here is an optimized crystal structure of AlCd2Cu from Alexandria via LeMat-Bulk. Energies are from PBEsol. Values from VASP.

```
&SYSTEM
  ibrav = 0, nat = 12, ntyp = 3
/
ATOMIC_SPECIES
Al 26.98 Al.upf
Cd 112.41 Cd.upf
Cu 63.55 Cu.upf
ATOMIC_POSITIONS crystal
Al 0.000 0.000 0.000
Al 0.333 0.667 0.667
Al 0.667 0.333 0.333
Cd 0.000 0.000 0.243
Cd 0.000 0.000 0.757
Cd 0.333 0.667 0.423
Cd 0.333 0.667 0.910
Cd 0.667 0.333 0.090
Cd 0.667 0.333 0.577
Cu 0.000 0.000 0.500
Cu 0.333 0.667 0.167
Cu 0.667 0.333 0.833
CELL_PARAMETERS angstrom
2.947 0.000 0.000
-1.474 2.552 0.000
0.000 0.000 27.651
```

For the formation energy, the calculation gives 0.131 eV per atom.

Here is an optimized crystal structure of FeAgPt2 from Alexandria via LeMat-Bulk. Energies are from PBEsol. Values from VASP.

```
&SYSTEM
  ibrav = 0, nat = 4, ntyp = 3
/
ATOMIC_SPECIES
Fe 55.84 Fe.upf
Ag 107.87 Ag.upf
Pt 195.08 Pt.upf
ATOMIC_POSITIONS crystal
Fe 0.000 0.000 0.000
Ag 0.000 0.000 0.500
Pt 0.500 0.500 0.235
Pt 0.500 0.500 0.765
CELL_PARAMETERS angstrom
2.758 0.000 0.000
0.000 3.715 0.000
0.000 0.000 5.690
```

For the formation energy, the calculation gives -0.054 eV per atom.

Here is an optimized crystal structure of RbP3Pd from Alexandria via LeMat-Bulk. Energies are from PBEsol. Values from VASP.

```
&SYSTEM
  ibrav = 0, nat = 5, ntyp = 3
/
ATOMIC_SPECIES
Rb 85.47 Rb.upf
P 30.97 P.upf
Pd 106.42 Pd.upf
ATOMIC_POSITIONS crystal
Rb 0.000 0.000 0.000
P 0.000 0.000 0.500
P 0.000 0.500 0.000
P 0.500 0.000 0.000
Pd 0.500 0.500 0.500
CELL_PARAMETERS angstrom
5.116 0.000 0.000
0.000 5.116 0.000
0.000 0.000 5.116
```

For the formation energy, the calculation gives 2.451 eV per atom.

Here is an optimized crystal structure of LiMn2Co from Alexandria via LeMat-Bulk. Energies are from PBEsol. Values from VASP.

```
&SYSTEM
  ibrav = 0, nat = 4, ntyp = 3
/
ATOMIC_SPECIES
Li 6.94 Li.upf
Mn 54.94 Mn.upf
Co 58.93 Co.upf
ATOMIC_POSITIONS crystal
Li 0.000 0.000 0.000
Mn 0.000 0.000 0.510
Mn 0.500 0.500 0.264
Co 0.500 0.500 0.766
CELL_PARAMETERS angstrom
2.481 0.000 0.000
0.000 3.490 0.000
0.000 0.000 4.989
```

The value obtained for the energy relative to the lowest polymorph listed for this composition is 0.000 eV/atom. For the formation energy, the calculation gives 0.298 eV per atom.

Here is an optimized crystal structure of FeCo5 from Alexandria via LeMat-Bulk. Energies are from PBEsol. Values from VASP.

```
&SYSTEM
  ibrav = 0, nat = 6, ntyp = 2
/
ATOMIC_SPECIES
Fe 55.84 Fe.upf
Co 58.93 Co.upf
ATOMIC_POSITIONS crystal
Fe 0.000 0.000 0.000
Co 0.000 0.500 0.500
Co 0.302 0.000 0.665
Co 0.326 0.500 0.169
Co 0.674 0.500 0.831
Co 0.698 0.000 0.335
CELL_PARAMETERS angstrom
2.408 0.000 0.000
0.000 3.960 0.000
-0.233 0.000 6.686
```

For the formation energy, the calculation gives 0.084 eV per atom.

Here is an optimized crystal structure of LuCo5P3 from Alexandria via LeMat-Bulk. Energies are from PBEsol. Values from VASP.

```
&SYSTEM
  ibrav = 0, nat = 36, ntyp = 3
/
ATOMIC_SPECIES
Lu 174.97 Lu.upf
Co 58.93 Co.upf
P 30.97 P.upf
ATOMIC_POSITIONS crystal
Lu 0.203 0.250 0.083
Lu 0.297 0.750 0.583
Lu 0.703 0.250 0.417
Lu 0.797 0.750 0.917
Co 0.008 0.750 0.717
Co 0.013 0.750 0.092
Co 0.069 0.750 0.468
Co 0.177 0.250 0.780
Co 0.199 0.250 0.383
Co 0.301 0.750 0.883
Co 0.323 0.750 0.280
Co 0.431 0.250 0.968
Co 0.487 0.250 0.592
Co 0.492 0.250 0.217
Co 0.508 0.750 0.783
Co 0.513 0.750 0.408
Co 0.569 0.750 0.032
Co 0.677 0.250 0.720
Co 0.699 0.250 0.117
Co 0.801 0.750 0.617
Co 0.823 0.750 0.220
Co 0.931 0.250 0.532
Co 0.987 0.250 0.908
Co 0.992 0.250 0.283
P 0.110 0.750 0.900
P 0.112 0.250 0.583
P 0.129 0.750 0.269
P 0.371 0.250 0.769
P 0.388 0.750 0.083
P 0.390 0.250 0.400
P 0.610 0.750 0.600
P 0.612 0.250 0.917
P 0.629 0.750 0.231
P 0.871 0.250 0.731
P 0.888 0.750 0.417
P 0.890 0.250 0.100
CELL_PARAMETERS angstrom
11.520 0.000 0.000
0.000 3.564 0.000
0.000 0.000 10.102
```

For the formation energy, the calculation gives -0.955 eV per atom.

Here is an optimized crystal structure of CaPb2 from Alexandria via LeMat-Bulk. Energies are from PBEsol. Values from VASP.

```
&SYSTEM
  ibrav = 0, nat = 6, ntyp = 2
/
ATOMIC_SPECIES
Ca 40.08 Ca.upf
Pb 207.20 Pb.upf
ATOMIC_POSITIONS crystal
Ca 0.333 0.667 0.250
Ca 0.667 0.333 0.750
Pb 0.000 0.000 0.000
Pb 0.000 0.000 0.500
Pb 0.333 0.667 0.750
Pb 0.667 0.333 0.250
CELL_PARAMETERS angstrom
5.524 0.000 0.000
-2.762 4.784 0.000
0.000 0.000 6.643
```

For the formation energy, the calculation gives -0.338 eV per atom.

Here is an optimized crystal structure of CdCo2W from Alexandria via LeMat-Bulk. Energies are from PBEsol. Values from VASP.

```
&SYSTEM
  ibrav = 0, nat = 4, ntyp = 3
/
ATOMIC_SPECIES
Cd 112.41 Cd.upf
Co 58.93 Co.upf
W 183.84 W.upf
ATOMIC_POSITIONS crystal
Cd 0.000 0.000 0.000
Co 0.000 0.000 0.443
Co 0.500 0.500 0.277
W 0.500 0.500 0.669
CELL_PARAMETERS angstrom
2.732 0.000 0.000
0.000 3.148 0.000
0.000 0.000 6.458
```

For the formation energy, the calculation gives 0.357 eV per atom.

Here is an optimized crystal structure of Zr2NiIr from Alexandria via LeMat-Bulk. Energies are from PBEsol. Values from VASP.

```
&SYSTEM
  ibrav = 0, nat = 8, ntyp = 3
/
ATOMIC_SPECIES
Zr 91.22 Zr.upf
Ni 58.69 Ni.upf
Ir 192.22 Ir.upf
ATOMIC_POSITIONS crystal
Zr 0.000 0.000 0.000
Zr 0.000 0.500 0.500
Zr 0.500 0.000 0.283
Zr 0.500 0.500 0.783
Ni 0.500 0.000 0.552
Ni 0.500 0.500 0.052
Ir 0.000 0.000 0.727
Ir 0.000 0.500 0.227
CELL_PARAMETERS angstrom
4.171 0.000 0.000
0.000 3.313 0.000
0.000 0.000 9.953
```

For the formation energy, the calculation gives -0.673 eV per atom.

Here is an optimized crystal structure of BaCaO3 from Alexandria via LeMat-Bulk. Energies are from PBEsol. Values from VASP.

```
&SYSTEM
  ibrav = 0, nat = 5, ntyp = 3
/
ATOMIC_SPECIES
Ba 137.33 Ba.upf
Ca 40.08 Ca.upf
O 16.00 O.upf
ATOMIC_POSITIONS crystal
Ba 0.000 0.000 0.000
Ca 0.500 0.500 0.500
O 0.000 0.000 0.500
O 0.000 0.500 0.000
O 0.500 0.000 0.000
CELL_PARAMETERS angstrom
4.584 0.000 0.000
0.000 4.584 0.000
0.000 0.000 4.584
```

As for the raw formation energy: -1.173 eV/atom.